# Ac6ZnIn3, relaxed, DFT PBE
data_Ac6ZnIn3
_chemical_formula_sum 'Ac12 Zn2 In6'
_cell_length_a 10.0814
_cell_length_b 5.7619
_cell_length_c 12.8680
_cell_angle_alpha 90.00
_cell_angle_beta 108.15
_cell_angle_gamma 90.00
_space_group_name_H-M_alt 'P 1 21/m 1'
_space_group_IT_number 11
loop_
_space_group_symop_operation_xyz
'x,y,z'
'-x,-y,-z'
'-x,y+1/2,-z'
'x,-y+1/2,z'
loop_
_atom_site_label
_atom_site_type_symbol
_atom_site_fract_x
_atom_site_fract_y
_atom_site_fract_z
_atom_site_occupancy
Ac1 Ac 0.0214 0.2500 0.4073 1
Ac2 Ac 0.1617 0.7500 0.1694 1
Ac3 Ac 0.2562 0.2500 0.0004 1
Ac4 Ac 0.3550 0.7500 0.8291 1
Ac5 Ac 0.3688 0.2500 0.3480 1
Ac6 Ac 0.3948 0.2500 0.6287 1
Zn1 Zn 0.4591 0.7500 0.1021 1
In1 In 0.0305 0.7500 0.8787 1
In2 In 0.1203 0.2500 0.7232 1
In3 In 0.2718 0.7500 0.4676 1
# energy: -73.62 eV for the cell shown
# energy relative to the elements: -2.67 eV per formula unit
# total magnetization: 0.00 μB/atom



# KMnS3, relaxed, DFT PBE
data_KMnS3
_chemical_formula_sum 'K1 Mn1 S3'
_cell_length_a 4.5817
_cell_length_b 4.5817
_cell_length_c 4.5817
_cell_angle_alpha 90.00
_cell_angle_beta 90.00
_cell_angle_gamma 90.00
_space_group_name_H-M_alt 'P m -3 m'
_space_group_IT_number 221
_space_group_name_Hall '-P 4 2 3'
loop_
_atom_site_label
_atom_site_type_symbol
_atom_site_fract_x
_atom_site_fract_y
_atom_site_fract_z
_atom_site_occupancy
K1 K 0.0000 0.0000 0.0000 1
Mn1 Mn 0.5000 0.5000 0.5000 1
S1 S 0.0000 0.5000 0.5000 1
# excess energy over the best structure of this formula in the dataset: 383.3 meV/atom
# energy relative to the elements, uncorrected: -0.1999 eV/atom
# energy: -23.65 eV for the cell shown
# total magnetization: 0.00 μB/atom